First-principles (PBE) data for a relaxed structure of CdCuAu2, as listed in the Alexandria database.

It has space group I-42d (No. 122), with a = 7.401 Å, b = 7.401 Å, c = 5.501 Å, α = 90.00°, β = 90.00° and γ = 90.00°. Symmetry generates all atoms from Cd at (0.000, 0.000, 0.000), Cu at (0.000, 0.000, 0.500) and Au at (0.223, 0.250, 0.625).

For the uncorrected energy, the calculation gives -2.83 eV/atom. As for the formation energy: 0.062 eV/atom. The total moment is 0.00 μB/f.u.